# LaH2Pd, optimized geometry, DFT PBE-GGA
# - symmetry = R-3m
# - energy relative to the lowest polymorph listed for this composition (eV/atom) = 0.000
data_LaH2Pd
_cell_length_a 4.6257
_cell_length_b 4.6257
_cell_length_c 4.6257
_cell_angle_alpha 55.55
_cell_angle_beta 55.55
_cell_angle_gamma 55.55
_space_group_name_H-M_alt 'P 1'
_space_group_IT_number 1
_space_group_name_Hall 'P 1'
loop_
_atom_site_label
_atom_site_type_symbol
_atom_site_fract_x
_atom_site_fract_y
_atom_site_fract_z
_atom_site_occupancy
La1 La 0.0000 0.0000 0.0000 1
H1 H 0.3549 0.3549 0.3549 1
H2 H 0.6451 0.6451 0.6451 1
Pd1 Pd 0.5000 0.5000 0.5000 1